Record 1
Here is CsZrSc2Zn after structural relaxation from Alexandria via LeMat-Bulk. Energies are from PBE.

POSCAR file:
```
CsZrSc2Zn
1.0
5.3287 0.0000 0.0000
0.0000 5.3287 0.0000
0.0000 0.0000 6.3961
Cs Zr Sc Zn
1 1 2 1
Cartesian
0.0000 0.0000 0.0000
0.0000 0.0000 3.1980
0.0000 2.6644 3.1980
2.6644 0.0000 3.1980
2.6644 2.6644 0.0000
```

Computed properties:
Energy relative to the lowest polymorph listed for this composition ... 0 meV/atom
Symmetry ... No. 123
Density of states at the Fermi level ... 5.575 states/eV per cell
Energy of formation ... 106.5 kJ/mol of atoms
Total magnetic moment ... 0.000 μB/atom

---

Record 2
Here is Cs2SeI after structural relaxation from Alexandria via LeMat-Bulk. Energies are from PBE.

POSCAR file:
```
Cs2SeI
1.0
6.4803 0.0000 0.0000
0.0000 6.4803 0.0000
0.0000 0.0000 4.4192
Cs Se I
2 1 1
Cartesian
0.0000 3.2402 0.0000
3.2402 0.0000 0.0000
0.0000 0.0000 2.2096
3.2402 3.2402 2.2096
```

Computed properties:
Energy relative to the lowest polymorph listed for this composition ... 198 meV/atom
Raw formation energy ... -1.001 eV/atom
Symmetry ... No. 123
Density of states at the Fermi level ... 5.183 states/eV per cell
Total magnetic moment ... 0.253 μB/atom

---

Record 3
Here is NiHg2Sb after structural relaxation from Alexandria via LeMat-Bulk. Energies are from PBE.

POSCAR file:
```
NiHg2Sb
1.0
3.0405 0.0000 0.0000
0.0000 4.5798 0.0000
0.0000 0.0000 12.7813
Ni Hg Sb
2 4 2
Cartesian
0.0000 0.0000 0.0000
1.5203 2.2899 6.3906
0.0000 0.0000 6.2148
0.0000 2.2899 4.0284
1.5203 0.0000 10.4191
1.5203 2.2899 12.6054
0.0000 2.2899 8.5036
1.5203 0.0000 2.1130
```

Computed properties:
Raw formation energy ... 0.096 eV/atom
Symmetry ... No. 44
Density of states at the Fermi level ... 4.036 states/eV per cell
Total magnetic moment ... 0.000 μB/atom

---

Record 4
Here is Zn2IrBr after structural relaxation from Alexandria via LeMat-Bulk. Energies are from PBE.

POSCAR file:
```
Zn2IrBr
1.0
3.1361 0.0000 0.0000
0.0000 3.1361 0.0000
0.0000 0.0000 7.2708
Zn Ir Br
2 1 1
Cartesian
0.0000 0.0000 1.4270
0.0000 0.0000 5.8438
1.5681 1.5681 0.0000
1.5681 1.5681 3.6354
```

Computed properties:
Energy relative to the lowest polymorph listed for this composition ... 83 meV/atom
Raw formation energy ... 0.003 eV/atom
Symmetry ... No. 123
Density of states at the Fermi level ... 1.093 states/eV per cell
Total magnetic moment ... 0.000 μB/atom

---

Record 5
Here is Fe2Ge2Pb after structural relaxation from Alexandria via LeMat-Bulk. Energies are from PBE.

POSCAR file:
```
Fe2Ge2Pb
1.0
7.2770 0.0000 0.0000
0.0000 7.2770 0.0000
0.0000 0.0000 2.9189
Fe Ge Pb
4 4 2
Cartesian
1.0565 2.5820 0.0000
2.5820 6.2205 0.0000
4.6950 1.0565 0.0000
6.2205 4.6950 0.0000
1.0202 4.6587 1.4594
2.6183 1.0202 1.4594
4.6587 6.2568 1.4594
6.2568 2.6183 1.4594
0.0000 0.0000 0.0000
3.6385 3.6385 0.0000
```

Computed properties:
Symmetry ... No. 127
Density of states at the Fermi level ... 8.169 states/eV per cell
Energy of formation ... 32.3 kJ/mol of atoms
Total magnetic moment ... 0.000 μB/atom

---

Record 6
Here is Mn2MoRh2 after structural relaxation from Alexandria via LeMat-Bulk. Energies are from PBE.

POSCAR file:
```
Mn2MoRh2
1.0
7.1645 0.0000 0.0000
0.0000 7.1645 0.0000
0.0000 0.0000 2.6344
Mn Mo Rh
4 2 4
Cartesian
1.2143 2.3679 0.0000
2.3679 5.9502 0.0000
4.7966 1.2143 0.0000
5.9502 4.7966 0.0000
0.0000 0.0000 1.3172
3.5823 3.5823 1.3172
0.9168 4.4991 1.3172
2.6654 0.9168 1.3172
4.4991 6.2477 1.3172
6.2477 2.6654 1.3172
```

Computed properties:
Energy relative to the lowest polymorph listed for this composition ... 89 meV/atom
Symmetry ... No. 127
Density of states at the Fermi level ... 16.367 states/eV per cell
Energy of formation ... 17.0 kJ/mol of atoms
Total magnetic moment ... 0.000 μB/atom

---

Record 7
Here is Ac2NdBe2Pd7 after structural relaxation from Alexandria via LeMat-Bulk. Energies are from PBE.

POSCAR file:
```
Ac2NdBe2Pd7
1.0
3.0139 -2.9828 0.0000
3.0139 2.9828 0.0000
-1.8035 0.0000 13.1469
Ac Nd Be Pd
2 1 2 7
Cartesian
-0.0843 0.0000 4.6222
4.3085 0.0000 8.5247
0.0000 0.0000 0.0000
1.2377 0.0000 10.0508
2.9866 0.0000 3.0961
1.4803 1.4912 2.1328
1.3141 0.0000 7.7123
2.7440 1.4912 11.0140
3.0139 0.0000 0.0000
1.4803 -1.4912 2.1328
2.9102 0.0000 5.4345
2.7440 -1.4912 11.0140
```

Computed properties:
Symmetry ... No. 12
Density of states at the Fermi level ... 4.189 states/eV per cell
Energy of formation ... -69.2 kJ/mol of atoms
Total magnetic moment ... 0.000 μB/atom

---

Record 8
Here is Pu3HgPd after structural relaxation from Alexandria via LeMat-Bulk. Energies are from PBE.

POSCAR file:
```
Pu3HgPd
1.0
5.3344 -4.2775 0.0000
5.3344 4.2775 0.0000
-4.1629 0.0000 5.3435
Pu Hg Pd
6 2 2
Cartesian
1.5279 1.6446 1.2501
-0.3522 0.0000 1.6323
1.5279 -1.6446 1.2501
4.9780 1.6446 4.0933
6.8581 0.0000 3.7112
4.9780 -1.6446 4.0933
1.9236 0.0000 3.9609
4.5822 0.0000 1.3825
-1.1447 0.0000 4.4282
7.6506 0.0000 0.9153
```

Computed properties:
Symmetry ... No. 12
Density of states at the Fermi level ... 39.828 states/eV per cell
Energy of formation ... 2.2 kJ/mol of atoms
Total magnetic moment ... 1.201 μB/atom

---

Please write out number 3 again, unchanged.
Here is NiHg2Sb after structural relaxation from Alexandria via LeMat-Bulk. Energies are from PBE.

POSCAR file:
```
NiHg2Sb
1.0
3.0405 0.0000 0.0000
0.0000 4.5798 0.0000
0.0000 0.0000 12.7813
Ni Hg Sb
2 4 2
Cartesian
0.0000 0.0000 0.0000
1.5203 2.2899 6.3906
0.0000 0.0000 6.2148
0.0000 2.2899 4.0284
1.5203 0.0000 10.4191
1.5203 2.2899 12.6054
0.0000 2.2899 8.5036
1.5203 0.0000 2.1130
```

Computed properties:
Raw formation energy ... 0.096 eV/atom
Symmetry ... No. 44
Density of states at the Fermi level ... 4.036 states/eV per cell
Total magnetic moment ... 0.000 μB/atom

---

Q: What is the density of states at the Fermi level in the fifth record?
A: 8.169 states/eV per cell

---

Q: Among the records above, which one has the highest total magnetic moment?
A: Pu3HgPd